Entry 1:
Below is a relaxed structure of Al3GaIr4, with properties calculated at the PBE-GGA level.

Output
- size of the total moment (μB per cell) = 0.000
- energy of formation (eV per formula unit) = -6.39

Cell and atoms, written as extended XYZ:
```
8
Lattice="2.9637 0.0000 0.0000 0.0000 2.9637 0.0000 0.0000 0.0000 12.6987" Properties=species:S:1:pos:R:3 pbc="T T T"
Ir 0.0000 0.0000 1.6586
Ir 0.0000 0.0000 7.9040
Ir 0.0000 0.0000 4.7947
Ir 0.0000 0.0000 11.0401
Al 1.4818 1.4818 3.2095
Al 1.4818 1.4818 6.3493
Al 1.4818 1.4818 9.4892
Ga 1.4818 1.4818 0.0000
```

=====

Entry 2:
Below is a relaxed structure of Ac2Rh, with properties calculated at the PBE-GGA level.

Output
- size of the total moment (μB per cell) = 0.000
- energy of formation (eV per formula unit) = -1.67
- E above lowest polymorph (meV/atom) = 0

Cell and atoms, written as extended XYZ:
```
12
Lattice="4.3949 0.0000 0.0000 0.0000 7.1791 0.0000 0.0000 0.0000 14.1289" Properties=species:S:1:pos:R:3 pbc="T T T"
Ac 3.2962 4.2367 10.4834
Ac 1.0987 5.2954 6.9492
Ac 3.2962 1.7058 0.1152
Ac 3.2962 6.5320 3.4189
Ac 3.2962 1.8838 7.1797
Ac 1.0987 5.4733 14.0137
Ac 1.0987 0.6471 10.7100
Ac 1.0987 2.9424 3.6455
Rh 3.2962 6.5862 12.3140
Rh 3.2962 4.1825 5.2495
Rh 1.0987 2.9967 8.8794
Rh 1.0987 0.5929 1.8149
```

=====

Entry 3:
Below is a relaxed structure of BaAu, with properties calculated at the PBE-GGA level.

Output
- size of the total moment (μB per cell) = 0.004
- energy of formation (eV per formula unit) = -0.63

Cell and atoms, written as extended XYZ:
```
16
Lattice="9.7495 0.0000 0.0000 0.0000 9.7495 0.0000 0.0000 0.0000 9.7495" Properties=species:S:1:pos:R:3 pbc="T T T"
Au 8.6669 8.6669 8.6669
Au 3.7922 3.7922 3.7922
Au 1.0826 8.6669 1.0826
Au 1.0826 1.0826 8.6669
Au 5.9573 5.9573 3.7922
Au 3.7922 5.9573 5.9573
Au 8.6669 1.0826 1.0826
Au 5.9573 3.7922 5.9573
Ba 6.8074 6.8074 6.8074
Ba 1.9326 1.9326 1.9326
Ba 2.9421 2.9421 6.8074
Ba 7.8168 1.9326 7.8168
Ba 7.8168 7.8168 1.9326
Ba 6.8074 2.9421 2.9421
Ba 2.9421 6.8074 2.9421
Ba 1.9326 7.8168 7.8168
```

=====

Entry 4:
Below is a relaxed structure of CaPr3Pb5, with properties calculated at the PBE-GGA level.

Output
- size of the total moment (μB per cell) = 0.000
- energy of formation (eV per formula unit) = -4.16

Cell and atoms, written as extended XYZ:
```
18
Lattice="6.7341 0.0000 0.0000 0.0000 8.4726 -4.8916 0.0000 0.0000 9.7833" Properties=species:S:1:pos:R:3 pbc="T T T"
Pr 5.0506 5.2725 3.0441
Pr 1.6835 0.0000 6.0882
Pr 1.6835 3.2001 1.8476
Pr 5.0506 0.0000 3.6951
Pr 1.6835 5.2725 -3.0441
Pr 5.0506 3.2001 -1.8476
Pb 1.6835 0.0000 2.8559
Pb 0.0000 2.8242 4.8916
Pb 0.0000 5.6484 0.0000
Pb 3.3671 2.8242 4.8916
Pb 1.6835 2.4733 -1.4280
Pb 5.0506 2.4733 1.4280
Pb 1.6835 5.9993 3.4637
Pb 5.0506 5.9993 -3.4637
Pb 5.0506 0.0000 6.9274
Pb 3.3671 5.6484 0.0000
Ca 3.3671 0.0000 0.0000
Ca 0.0000 0.0000 0.0000
```

=====

Entry 5:
Below is a relaxed structure of TbCe2Sb, with properties calculated at the PBE-GGA level.

Output
- size of the total moment (μB per cell) = 1.145
- E above lowest polymorph (meV/atom) = 112
- raw formation energy (meV per atom) = -474.2

Cell and atoms, written as extended XYZ:
```
4
Lattice="-2.8288 3.0658 0.5431 -1.7728 -2.1893 3.1241 4.0887 2.9904 4.4157" Properties=species:S:1:pos:R:3 pbc="T T T"
Ce 1.2325 0.9014 1.3311
Ce 2.8562 2.0890 3.0847
Sb -0.2565 1.9335 4.0415
Tb -2.3008 0.4382 1.8336
```

=====

Entry 6:
Below is a relaxed structure of K3MgU2O9, with properties calculated at the PBE-GGA level.

Output
- size of the total moment (μB per cell) = 0.621
- raw formation energy (meV per atom) = -2587.7

Cell and atoms, written as extended XYZ:
```
15
Lattice="-4.4533 -2.5504 -3.0815 -0.3532 0.4413 5.9593 -3.2446 6.4774 -0.6720" Properties=species:S:1:pos:R:3 pbc="T T T"
K -4.1880 0.6455 -0.2960
K -3.8631 3.7227 2.5018
K 0.0000 0.0000 0.0000
Mg -1.6223 3.2387 -0.3360
O -2.1307 2.0783 4.1902
O -1.9587 1.8634 1.2884
O -0.1766 0.2207 2.9796
O -3.7520 3.5318 -0.4839
O -6.0924 2.5048 0.9174
O -2.2267 -1.2752 -1.5407
O -2.4033 -1.0546 1.4389
O -4.2992 0.8364 2.6897
O -5.9205 2.2899 -1.9844
U -2.2983 0.5987 2.8259
U -5.7529 3.7695 -0.6201
```

=====

Entry 7:
Below is a relaxed structure of Nd8CuGe5, with properties calculated at the PBE-GGA level.

Output
- size of the total moment (μB per cell) = 0.000
- energy of formation (eV per formula unit) = -9.31

Cell and atoms, written as extended XYZ:
```
14
Lattice="-3.6941 -0.9001 6.9554 -3.2338 -4.8153 -5.4027 7.6689 -1.7748 0.9338" Properties=species:S:1:pos:R:3 pbc="T T T"
Nd 1.5314 -6.3448 0.3900
Nd 1.6484 -2.7865 6.9369
Nd -2.8372 -3.7538 -3.1561
Nd 0.9900 -4.6616 -2.7741
Nd 1.1394 -2.0952 0.8020
Nd -0.7605 -2.4844 4.2453
Nd -1.8838 -3.8466 0.3397
Nd 3.1363 -3.9877 3.1619
Ge -4.1481 -5.4312 1.5649
Ge 5.8582 -2.7112 2.8451
Ge 0.0100 -4.7934 2.4526
Ge -0.2381 -2.0446 -1.8898
Ge 1.9874 -1.3374 3.9446
Cu 3.2113 -3.9638 -0.2622
```

=====

Entry 8:
Below is a relaxed structure of K4OF2, with properties calculated at the PBE-GGA level.

Output
- size of the total moment (μB per cell) = 0.000
- E above lowest polymorph (meV/atom) = 152
- raw formation energy (meV per atom) = -1825.5

Cell and atoms, written as extended XYZ:
```
7
Lattice="-1.3035 1.9511 -4.5019 2.2889 -3.8783 -2.3436 -5.5679 -4.6384 -3.2605" Properties=species:S:1:pos:R:3 pbc="T T T"
K -0.6517 0.9755 -2.2509
K 1.1444 -1.9392 -1.1718
K -3.4093 -3.3296 -3.3183
K -1.1732 -3.2361 -6.7877
F -1.2380 -2.0130 -3.3764
F -3.3445 -4.5527 -6.7296
O 0.0000 0.0000 0.0000
```

=====

Entry 9:
Below is a relaxed structure of Cs2La2US6, with properties calculated at the PBE-GGA level.

Output
- size of the total moment (μB per cell) = 2.000
- raw formation energy (meV per atom) = -1763.1

Cell and atoms, written as extended XYZ:
```
11
Lattice="-2.7004 6.0890 3.0239 -1.5401 -6.5025 2.9762 8.0960 0.7357 2.7292" Properties=species:S:1:pos:R:3 pbc="T T T"
S 2.3145 0.1892 6.3424
S -0.5254 -2.0890 5.5731
S 4.7499 -1.5937 3.1409
S -0.8944 1.9159 5.5883
S 1.5409 0.1329 2.3868
S 4.3809 2.4112 3.1561
La 1.7352 2.2500 4.3725
La 2.1202 -1.9278 4.3567
Cs -2.5034 3.9515 3.0158
Cs -1.7371 -4.3650 2.9843
U 4.0480 0.3678 1.3646
```

=====

Entry 10:
Below is a relaxed structure of TiSnC3, with properties calculated at the PBE-GGA level.

Output
- size of the total moment (μB per cell) = 0.000
- energy of formation (eV per formula unit) = 13.07
- E above lowest polymorph (meV/atom) = 911

Cell and atoms, written as extended XYZ:
```
5
Lattice="-0.6174 -4.0817 0.6928 -0.6495 -0.5963 -4.0920 4.0888 -0.7110 -0.5454" Properties=species:S:1:pos:R:3 pbc="T T T"
C -0.3087 -2.0409 0.3464
C -0.3248 -0.2982 -2.0460
C 2.0444 -0.3555 -0.2727
Sn 0.0000 0.0000 0.0000
Ti 1.4110 -2.6945 -1.9723
```

=====

Entry 11:
Below is a relaxed structure of MgZrSi, with properties calculated at the PBE-GGA level.

Output
- size of the total moment (μB per cell) = 0.000
- raw formation energy (meV per atom) = -359.0

Cell and atoms, written as extended XYZ:
```
6
Lattice="3.8760 0.0000 -0.0031 0.0000 4.3793 0.0000 -1.9120 0.0000 6.5782" Properties=species:S:1:pos:R:3 pbc="T T T"
Si 1.9501 2.1897 3.9988
Si 1.9335 0.0000 1.3820
Zr -0.0005 2.1897 1.9267
Zr 0.0168 2.1897 5.9239
Mg 1.9567 0.0000 6.1218
Mg 0.0136 0.0000 3.8251
```

=====

Entry 12:
Below is a relaxed structure of CoS2I, with properties calculated at the PBE-GGA level.

Output
- size of the total moment (μB per cell) = 1.150
- E above lowest polymorph (meV/atom) = 773
- raw formation energy (meV per atom) = 668.5

Cell and atoms, written as extended XYZ:
```
4
Lattice="1.7459 0.0000 11.9744 -0.8730 1.5120 11.9744 -0.8730 -1.5120 11.9744" Properties=species:S:1:pos:R:3 pbc="T T T"
S 0.0000 0.0000 33.8293
S 0.0000 0.0000 2.0939
I 0.0000 0.0000 17.9616
Co 0.0000 0.0000 0.0000
```

=====

Number 1: VASP energy -7.01 eV/atom. Number 2: VASP energy -5.75 eV/atom. Number 3: VASP energy -2.91 eV/atom. Number 4: VASP energy -4.34 eV/atom. Number 5: VASP energy -5.63 eV/atom. Number 6: VASP energy -7.39 eV/atom. Number 7: VASP energy -5.33 eV/atom. Number 8: VASP energy -3.70 eV/atom. Number 9: VASP energy -6.09 eV/atom. Number 10: VASP energy -5.30 eV/atom. Number 11: VASP energy -5.55 eV/atom. Number 12: VASP energy -3.56 eV/atom.